(1)
{"formula": "La3NdTe6", "functional": "PBE", "state": "relaxed", "e_form_raw_ev_per_fu": -15.2, "polymorph_energy_mev_per_atom": 0.0, "density_kg_m3": 5964, "lattice": [[-3.7313, 1.5043, 2.1434], [3.6187, -6.2254, 10.6686], [5.1002, 12.2823, 0.2585]], "species": ["La", "La", "La", "La", "La", "La", "Te", "Te", "Te", "Te", "Te", "Te", "Te", "Te", "Te", "Te", "Te", "Te", "Nd", "Nd"], "frac_coords": [[0.2500, 0.5743, 0.1696], [0.2500, 0.3165, 0.4956], [0.7500, 0.1580, 0.0788], [0.2500, 0.8420, 0.9212], [0.7500, 0.4257, 0.8304], [0.7500, 0.6835, 0.5044], [0.7500, 0.8134, 0.7507], [0.7500, 0.4847, 0.6179], [0.2500, 0.2457, 0.7167], [0.7500, 0.3990, 0.0643], [0.2500, 0.0839, 0.8954], [0.7500, 0.7543, 0.2833], [0.7500, 0.1090, 0.4650], [0.2500, 0.6010, 0.9357], [0.2500, 0.8910, 0.5350], [0.2500, 0.1866, 0.2493], [0.2500, 0.5153, 0.3821], [0.7500, 0.9161, 0.1046], [0.7500, 0.0432, 0.6910], [0.2500, 0.9568, 0.3090]]}



(2)
{"formula": "ScTlBr2", "functional": "PBE", "state": "relaxed", "e_form_raw_ev_per_fu": -3.1, "polymorph_energy_mev_per_atom": 257.1, "density_kg_m3": 5919, "n_ef_per_ev_atom": 0.566, "lattice": [[-2.1458, -0.3165, -3.1784], [-2.2459, -2.5731, 1.7725], [-4.5754, 5.7283, 2.5185]], "species": ["Sc", "Tl", "Br", "Br"], "frac_coords": [[0.0000, 0.0000, 0.3876], [0.5000, 0.5000, 0.7349], [0.0000, 0.0000, 0.0494], [0.5000, 0.5000, 0.3281]]}



(3)
{"formula": "Sm3Dy5Se8", "functional": "PBE", "state": "relaxed", "e_form_raw_ev_per_fu": -28.3, "density_kg_m3": 7995, "n_ef_per_ev_atom": 0.656, "lattice": [[7.1174, 0.0000, 4.0769], [2.3911, 6.7037, 4.0769], [0.0003, 0.0002, 8.2506]], "species": ["Se", "Se", "Se", "Se", "Se", "Se", "Se", "Se", "Sm", "Sm", "Sm", "Dy", "Dy", "Dy", "Dy", "Dy"], "frac_coords": [[0.7468, 0.7468, 0.7597], [0.7500, 0.2563, 0.2436], [0.2563, 0.7500, 0.2436], [0.2532, 0.2532, 0.2403], [0.2500, 0.7437, 0.7564], [0.2500, 0.2500, 0.7564], [0.7437, 0.2500, 0.7564], [0.7500, 0.7500, 0.2436], [0.0000, 0.0000, 0.5000], [0.5000, 0.0000, 0.5000], [0.0000, 0.5000, 0.5000], [0.0000, 0.0000, 0.0000], [0.5000, 0.5000, 0.5000], [0.0000, 0.5000, 0.0000], [0.5000, 0.0000, 0.0000], [0.5000, 0.5000, 0.0000]]}



(4)
{"formula": "LiTlH3", "functional": "PBE", "state": "relaxed", "polymorph_energy_mev_per_atom": 23.4, "density_kg_m3": 4911, "n_ef_per_ev_atom": 0.123, "lattice": [[-2.6797, -0.6404, 3.1291], [2.4347, -3.0534, 1.4600], [2.0674, 2.7657, 2.3365]], "species": ["H", "H", "H", "Li", "Tl"], "frac_coords": [[0.5000, 0.0000, 0.0000], [0.0000, 0.5000, 0.0000], [0.0000, 0.0000, 0.5000], [0.5000, 0.5000, 0.5000], [0.0000, 0.0000, 0.0000]]}



(5)
{"formula": "VSb2TeCl", "functional": "PBE", "state": "relaxed", "e_form_raw_ev_per_fu": 6.1, "polymorph_energy_mev_per_atom": 1182.1, "density_kg_m3": 5259, "n_ef_per_ev_atom": 0.940, "lattice": [[-2.5964, 3.1310, -3.1893], [-0.0280, -3.6997, -3.6094], [-4.6756, -1.8787, 1.9620]], "species": ["Sb", "Sb", "Cl", "V", "Te"], "frac_coords": [[0.5000, 0.0000, 0.0000], [0.0000, 0.5000, 0.0000], [0.0000, 0.0000, 0.0000], [0.5000, 0.5000, 0.5000], [0.0000, 0.0000, 0.5000]]}



(6)
{"formula": "YTmSN", "functional": "PBE", "state": "relaxed", "e_form_raw_ev_per_fu": -7.5, "density_kg_m3": 7256, "n_ef_per_ev_atom": 0.285, "lattice": [[-3.2745, -0.4723, 1.3986], [-2.4669, -1.8895, -1.8015], [0.0326, -5.9963, 2.6638]], "species": ["Y", "N", "Tm", "S"], "frac_coords": [[0.5135, 0.5135, 0.4596], [0.2530, 0.2530, 0.2411], [0.9856, 0.9856, 0.0432], [0.7480, 0.7480, 0.7561]]}



(7)
{"formula": "Sc2ZnSe", "functional": "PBE", "state": "relaxed", "e_form_raw_ev_per_fu": -3.2, "polymorph_energy_mev_per_atom": 176.7, "density_kg_m3": 4610, "n_ef_per_ev_atom": 0.834, "lattice": [[3.6464, 0.0000, 0.0000], [1.8232, 3.1579, 0.0000], [1.8232, 1.0526, 7.3287]], "species": ["Zn", "Sc", "Sc", "Se"], "frac_coords": [[0.4993, 0.4993, 0.5021], [0.0770, 0.0770, 0.7690], [0.2556, 0.2556, 0.2332], [0.6681, 0.6681, 0.9957]]}



(8)
{"formula": "Rb3Cu2PbBr8", "functional": "PBE", "state": "relaxed", "e_form_raw_ev_per_fu": -14.4, "density_kg_m3": 3864, "n_ef_per_ev_atom": 0.800, "lattice": [[7.9015, 0.0000, 0.0000], [-3.9508, 6.8429, 0.0000], [0.0000, 0.0000, 9.7747]], "species": ["Br", "Br", "Br", "Br", "Br", "Br", "Br", "Br", "Cu", "Cu", "Pb", "Rb", "Rb", "Rb"], "frac_coords": [[0.6549, 0.8274, 0.3175], [0.8274, 0.1726, 0.6825], [0.3451, 0.1726, 0.6825], [0.8274, 0.6549, 0.6825], [0.1726, 0.3451, 0.3175], [0.1726, 0.8274, 0.3175], [0.3333, 0.6667, 0.9626], [0.6667, 0.3333, 0.0374], [0.6667, 0.3333, 0.8011], [0.3333, 0.6667, 0.1989], [0.0000, 0.0000, 0.5000], [0.6667, 0.3333, 0.3771], [0.0000, 0.0000, 0.0000], [0.3333, 0.6667, 0.6229]]}



(9)
{"formula": "Sb2SeIN", "functional": "PBE", "state": "relaxed", "e_form_raw_ev_per_fu": 4.1, "polymorph_energy_mev_per_atom": 0.0, "density_kg_m3": 6645, "n_ef_per_ev_atom": 0.762, "lattice": [[-3.6275, 2.4973, -2.3075], [-3.1391, -1.1632, 3.6760], [1.2310, 3.8996, 2.2851]], "species": ["Sb", "Sb", "Se", "I", "N"], "frac_coords": [[0.0000, 0.5000, 0.0000], [0.5000, 0.0000, 0.0000], [0.5000, 0.5000, 0.5000], [0.0000, 0.0000, 0.5000], [0.0000, 0.0000, 0.0000]]}



(10)
{"formula": "Na2VRu", "functional": "PBE", "state": "relaxed", "polymorph_energy_mev_per_atom": 159.6, "density_kg_m3": 4201, "delta_e_f_mev_per_atom": 1297, "n_ef_per_ev_atom": 1.967, "lattice": [[4.6336, 0.1408, -1.2503], [2.8571, -3.7405, 0.9479], [1.6048, -2.7638, -3.5832]], "species": ["Ru", "Na", "Na", "V"], "frac_coords": [[0.5000, 0.5000, 0.5000], [0.7500, 0.7500, 0.7500], [0.2500, 0.2500, 0.2500], [0.0000, 0.0000, 0.0000]]}



(11)
{"formula": "Hf5ScTc4", "functional": "PBE", "state": "relaxed", "density_kg_m3": 11817, "delta_e_f_mev_per_atom": -378, "n_ef_per_ev_atom": 1.028, "lattice": [[3.2855, 0.0000, 0.0000], [0.0000, 3.2855, 0.0000], [0.0000, 0.0000, 17.3068]], "species": ["Tc", "Tc", "Tc", "Tc", "Hf", "Hf", "Hf", "Hf", "Hf", "Sc"], "frac_coords": [[0.0000, 0.0000, 0.4057], [0.0000, 0.0000, 0.2138], [0.0000, 0.0000, 0.5943], [0.0000, 0.0000, 0.7862], [0.5000, 0.5000, 0.8697], [0.5000, 0.5000, 0.5000], [0.5000, 0.5000, 0.6868], [0.5000, 0.5000, 0.1303], [0.5000, 0.5000, 0.3132], [0.0000, 0.0000, 0.0000]]}



(12)
{"formula": "PrEuMgZn", "functional": "PBE", "state": "relaxed", "density_kg_m3": 5615, "delta_e_f_mev_per_atom": -146, "n_ef_per_ev_atom": 2.028, "lattice": [[5.4288, 0.0000, 0.0000], [2.7144, 4.7015, 0.0000], [2.7144, 1.5672, 4.4326]], "species": ["Mg", "Pr", "Eu", "Zn"], "frac_coords": [[0.5000, 0.5000, 0.5000], [0.2500, 0.2500, 0.2500], [0.7500, 0.7500, 0.7500], [0.0000, 0.0000, 0.0000]]}



(13)
{"formula": "LaCuMoAu2", "functional": "PBE", "state": "relaxed", "density_kg_m3": 9706, "delta_e_f_mev_per_atom": 714, "n_ef_per_ev_atom": 0.943, "lattice": [[-2.8147, 3.9301, -0.1045], [-2.6326, -1.9877, -3.8454], [-3.0239, -2.0821, 3.1464]], "species": ["Au", "Au", "Mo", "La", "Cu"], "frac_coords": [[0.0000, 0.0000, 0.5000], [0.5000, 0.0000, 0.0000], [0.5000, 0.5000, 0.5000], [0.0000, 0.5000, 0.0000], [0.0000, 0.0000, 0.0000]]}



(14)
{"formula": "Ho2NpPaN6", "functional": "PBE", "state": "relaxed", "e_form_raw_ev_per_fu": -13.6, "density_kg_m3": 10061, "lattice": [[-0.5236, -4.7867, -3.3409], [2.7029, -0.2587, -5.1938], [4.6742, -3.6149, -0.6942]], "species": ["Pa", "N", "N", "N", "N", "N", "N", "Ho", "Ho", "Np"], "frac_coords": [[0.8113, 0.8113, 0.5661], [0.1162, 0.4354, 0.7759], [0.9606, 0.5928, 0.2634], [0.6725, 0.1162, 0.7759], [0.5928, 0.1832, 0.2634], [0.1832, 0.9606, 0.2634], [0.4354, 0.6726, 0.7758], [0.0344, 0.0344, 0.8968], [0.5387, 0.5387, 0.3838], [0.3165, 0.3165, 0.0506]]}



(15)
{"formula": "NiHgPt2", "functional": "PBE", "state": "relaxed", "density_kg_m3": 16906, "delta_e_f_mev_per_atom": 142, "n_ef_per_ev_atom": 1.333, "lattice": [[-3.0114, -1.0330, 3.1589], [0.0094, -4.0819, 1.8580], [1.3065, -0.5225, 4.2584]], "species": ["Pt", "Pt", "Ni", "Hg"], "frac_coords": [[0.0000, 0.0000, 0.0000], [0.7500, 0.7500, 0.7500], [0.2500, 0.2500, 0.2500], [0.5000, 0.5000, 0.5000]]}



(16)
{"formula": "PmGa4Ge2", "functional": "PBE", "state": "relaxed", "density_kg_m3": 6476, "delta_e_f_mev_per_atom": -195, "n_ef_per_ev_atom": 0.546, "lattice": [[-3.5781, -1.1135, 1.5348], [1.9070, -2.7009, 2.4863], [-0.2374, 7.4994, 4.8872]], "species": ["Ga", "Ga", "Ga", "Ga", "Ge", "Ge", "Pm"], "frac_coords": [[0.0000, 0.6863, 0.3726], [0.0000, 0.3137, 0.6274], [0.5000, 0.8208, 0.6417], [0.5000, 0.1792, 0.3583], [0.5000, 0.4265, 0.8529], [0.5000, 0.5735, 0.1471], [0.0000, 0.0000, 0.0000]]}



(17)
{"formula": "YAlSe3", "functional": "PBE", "state": "relaxed", "e_form_raw_ev_per_fu": -6.5, "polymorph_energy_mev_per_atom": 62.8, "density_kg_m3": 5140, "n_ef_per_ev_atom": 0.000, "lattice": [[7.2045, 0.0000, 0.0000], [0.0000, 9.5657, 0.0000], [0.0000, 0.0000, 6.6145]], "species": ["Se", "Se", "Se", "Se", "Se", "Se", "Se", "Se", "Se", "Se", "Se", "Se", "Y", "Y", "Y", "Y", "Al", "Al", "Al", "Al"], "frac_coords": [[0.3208, 0.0598, 0.3202], [0.5289, 0.7500, 0.1329], [0.1792, 0.9402, 0.8202], [0.1792, 0.5598, 0.8202], [0.3208, 0.4402, 0.3202], [0.0289, 0.7500, 0.3671], [0.8208, 0.0598, 0.1798], [0.8208, 0.4402, 0.1798], [0.6792, 0.9402, 0.6798], [0.4711, 0.2500, 0.8671], [0.9711, 0.2500, 0.6329], [0.6792, 0.5598, 0.6798], [0.8902, 0.7500, 0.9590], [0.6098, 0.2500, 0.4590], [0.1098, 0.2500, 0.0410], [0.3902, 0.7500, 0.5410], [0.5000, 0.0000, 0.0000], [0.5000, 0.5000, 0.0000], [0.0000, 0.5000, 0.5000], [0.0000, 0.0000, 0.5000]]}



(18)
{"formula": "Y2Cu12Ni5", "functional": "PBE", "state": "relaxed", "polymorph_energy_mev_per_atom": 2.8, "density_kg_m3": 8022, "delta_e_f_mev_per_atom": -152, "n_ef_per_ev_atom": 0.574, "lattice": [[6.3547, 0.1175, 0.6622], [0.6088, 6.3266, 0.6622], [0.1270, 0.1175, 6.3879]], "species": ["Y", "Y", "Cu", "Cu", "Cu", "Cu", "Cu", "Cu", "Cu", "Cu", "Cu", "Cu", "Cu", "Cu", "Ni", "Ni", "Ni", "Ni", "Ni"], "frac_coords": [[0.6691, 0.6691, 0.6691], [0.3309, 0.3309, 0.3309], [0.2924, 0.0000, 0.7076], [0.0000, 0.2924, 0.7076], [0.8482, 0.3462, 0.3462], [0.0000, 0.7076, 0.2924], [0.2924, 0.7076, 0.0000], [0.1518, 0.6538, 0.6538], [0.6538, 0.6538, 0.1518], [0.7076, 0.0000, 0.2924], [0.3462, 0.3462, 0.8482], [0.7076, 0.2924, 0.0000], [0.6538, 0.1518, 0.6538], [0.3462, 0.8482, 0.3462], [0.9010, 0.9010, 0.9010], [0.5000, 0.0000, 0.0000], [0.0990, 0.0990, 0.0990], [0.0000, 0.0000, 0.5000], [0.0000, 0.5000, 0.0000]]}



(19)
{"formula": "Ti2Al2Fe", "functional": "PBE", "state": "relaxed", "polymorph_energy_mev_per_atom": 159.8, "density_kg_m3": 4376, "delta_e_f_mev_per_atom": -184, "n_ef_per_ev_atom": 0.712, "lattice": [[6.4801, 0.0000, 0.0000], [0.0000, 6.4801, 0.0000], [0.0000, 0.0000, 3.7148]], "species": ["Ti", "Ti", "Ti", "Ti", "Al", "Al", "Al", "Al", "Fe", "Fe"], "frac_coords": [[0.6657, 0.8343, 0.5000], [0.1657, 0.6657, 0.5000], [0.8343, 0.3343, 0.5000], [0.3343, 0.1657, 0.5000], [0.1391, 0.3609, 0.0000], [0.8609, 0.6391, 0.0000], [0.3609, 0.8609, 0.0000], [0.6391, 0.1391, 0.0000], [0.0000, 0.0000, 0.0000], [0.5000, 0.5000, 0.0000]]}



(20)
{"formula": "NpSn3Pd6", "functional": "PBE", "state": "relaxed", "density_kg_m3": 10408, "delta_e_f_mev_per_atom": -376, "n_ef_per_ev_atom": 1.315, "lattice": [[3.8264, 0.0000, 0.0000], [0.0000, 9.3229, 0.2837], [0.0000, -2.7406, 10.9332]], "species": ["Sn", "Sn", "Sn", "Sn", "Sn", "Sn", "Np", "Np", "Pd", "Pd", "Pd", "Pd", "Pd", "Pd", "Pd", "Pd", "Pd", "Pd", "Pd", "Pd"], "frac_coords": [[0.2500, 0.8700, 0.9155], [0.7500, 0.7051, 0.5630], [0.2500, 0.2949, 0.4370], [0.7500, 0.3909, 0.8173], [0.2500, 0.6091, 0.1827], [0.7500, 0.1300, 0.0845], [0.7500, 0.0200, 0.7329], [0.2500, 0.9800, 0.2671], [0.7500, 0.8069, 0.0783], [0.2500, 0.3094, 0.2034], [0.7500, 0.7758, 0.3305], [0.2500, 0.5768, 0.9411], [0.7500, 0.4302, 0.5862], [0.2500, 0.2242, 0.6695], [0.7500, 0.6906, 0.7966], [0.2500, 0.9021, 0.5253], [0.7500, 0.4232, 0.0589], [0.7500, 0.0979, 0.4747], [0.2500, 0.5698, 0.4138], [0.2500, 0.1931, 0.9217]]}